1.
Computed, not measured: a geometry-optimized Pb3BrO3 structure at the GGA-PBE level of DFT.

formation energy without anion corrections: -643 kJ/mol of formula units
M_tot: 1.16 Bohr magnetons per cell

The structure in POSCAR format:
```
Pb3BrO3
1.0
3.517 2.030 7.885
-3.517 2.030 7.885
0.000 -4.061 7.885
Pb Br O
6 2 6
Direct
0.059 0.396 0.733
0.267 0.941 0.604
0.396 0.733 0.059
0.604 0.267 0.941
0.733 0.059 0.396
0.941 0.604 0.267
0.167 0.167 0.167
0.833 0.833 0.833
0.028 0.711 0.373
0.289 0.627 0.972
0.373 0.028 0.711
0.627 0.972 0.289
0.711 0.373 0.028
0.972 0.289 0.627
```

2.
Computed, not measured: a geometry-optimized Pb7Br12O structure at the GGA-PBE level of DFT.

formation energy without anion corrections: -1652 kJ/mol of formula units
M_tot: 0.00 Bohr magnetons per cell

The structure in POSCAR format:
```
Pb7Br12O
1.0
7.607 4.392 3.618
-7.607 4.392 3.618
0.000 -8.784 3.618
Pb Br O
7 12 1
Direct
0.000 0.000 0.000
0.183 0.399 0.478
0.399 0.478 0.183
0.478 0.183 0.399
0.522 0.817 0.601
0.601 0.522 0.817
0.817 0.601 0.522
0.046 0.352 0.134
0.134 0.046 0.352
0.166 0.722 0.561
0.278 0.439 0.834
0.352 0.134 0.046
0.439 0.834 0.278
0.561 0.166 0.722
0.648 0.866 0.954
0.722 0.561 0.166
0.834 0.278 0.439
0.866 0.954 0.648
0.954 0.648 0.866
0.500 0.500 0.500
```

3.
Computed, not measured: a geometry-optimized PbBr2O structure at the GGA-PBE level of DFT.

formation energy without anion corrections: 40 kJ/mol of formula units
M_tot: 4.00 Bohr magnetons per cell

The structure in POSCAR format:
```
PbBr2O
1.0
-2.742 2.742 8.477
2.742 -2.742 8.477
2.742 2.742 -8.477
Pb Br O
2 4 2
Direct
0.000 0.000 0.000
0.750 0.250 0.500
0.154 0.625 0.029
0.375 0.404 0.529
0.596 0.125 0.971
0.875 0.846 0.471
0.250 0.750 0.500
0.500 0.500 0.000
```

4.
Computed, not measured: a geometry-optimized Pb2BrO5 structure at the GGA-PBE level of DFT.

formation energy without anion corrections: -251 kJ/mol of formula units
M_tot: 0.96 Bohr magnetons per cell

The structure in POSCAR format:
```
Pb2BrO5
1.0
-2.976 2.976 4.033
2.976 -2.976 4.033
2.976 2.976 -4.033
Pb Br O
2 1 5
Direct
0.000 0.500 0.500
0.500 0.000 0.500
0.305 0.305 0.000
0.096 0.096 0.000
0.118 0.118 0.553
0.118 0.565 0.000
0.565 0.118 0.000
0.565 0.565 0.447
```

5.
Computed, not measured: a geometry-optimized PbBr2O6 structure at the GGA-PBE level of DFT.

formation energy without anion corrections: -155 kJ/mol of formula units
M_tot: 0.00 Bohr magnetons per cell

The structure in POSCAR format:
```
PbBr2O6
1.0
6.194 -3.987 0.000
6.194 3.987 0.000
-5.289 0.000 6.434
Pb Br O
2 4 12
Direct
0.170 0.830 0.750
0.830 0.170 0.250
0.296 0.319 0.309
0.319 0.296 0.809
0.681 0.704 0.191
0.704 0.681 0.691
0.086 0.193 0.653
0.193 0.086 0.153
0.222 0.419 0.508
0.237 0.570 0.914
0.419 0.222 0.008
0.430 0.763 0.586
0.570 0.237 0.414
0.581 0.778 0.992
0.763 0.430 0.086
0.778 0.581 0.492
0.807 0.914 0.847
0.914 0.807 0.347
```

6.
Computed, not measured: a geometry-optimized Pb3BrO3 structure at the GGA-PBE level of DFT.

formation energy without anion corrections: -615 kJ/mol of formula units
M_tot: 0.00 Bohr magnetons per cell

The structure in POSCAR format:
```
Pb3BrO3
1.0
10.428 0.000 0.000
-5.214 9.031 0.000
0.000 0.000 3.839
Pb Br O
6 2 6
Direct
0.106 0.375 0.250
0.269 0.894 0.250
0.375 0.269 0.750
0.625 0.731 0.250
0.731 0.106 0.750
0.894 0.625 0.750
0.333 0.667 0.750
0.667 0.333 0.250
0.026 0.737 0.250
0.263 0.288 0.250
0.288 0.026 0.750
0.712 0.974 0.250
0.737 0.712 0.750
0.974 0.263 0.750
```

> What is the formation energy without anion corrections in the first record?

-643 kJ/mol of formula units